# Ru5Cl4

A relaxed structure of Ru5Cl4 (PBE, the Alexandria database).

Output
Its magnetization is 0.2021 μB/atom. The calculation puts the uncorrected formation energy at 0.6175 eV per atom. Its total energy is -0.197 Ha/atom. Its relative energy among the computed polymorphs is 0.00 eV per formula unit.

Cell: 7.3508 7.3508 7.3508 Å, 92.21 92.21 157.36°
Fractional coordinates of all 9 atoms:
1 Ru 0.0000 0.0000 0.0000
2 Ru 0.3471 0.3471 0.6942
3 Ru 0.3471 0.6529 0.0000
4 Ru 0.6529 0.3471 0.0000
5 Ru 0.6529 0.6529 0.3058
6 Cl 0.0000 0.2923 0.2923
7 Cl 0.0000 0.7077 0.7077
8 Cl 0.2923 0.0000 0.2923
9 Cl 0.7077 0.0000 0.7077

=====

# RuCl

A relaxed structure of RuCl (PBE, the Alexandria database).

Output
Its magnetization is 0.2982 μB/atom. The calculation puts the uncorrected formation energy at 0.5419 eV per atom. Its total energy is -0.184 Ha/atom. Its relative energy among the computed polymorphs is 0.95 eV per formula unit.

Cell: 6.7032 3.5136 8.4131 Å, 90.00 90.00 90.00°
Fractional coordinates of all 8 atoms:
1 Ru 0.0451 0.2500 0.0793
2 Ru 0.4549 0.7500 0.5793
3 Ru 0.5451 0.2500 0.4207
4 Ru 0.9549 0.7500 0.9207
5 Cl 0.2147 0.2500 0.6579
6 Cl 0.2853 0.7500 0.1579
7 Cl 0.7147 0.2500 0.8421
8 Cl 0.7853 0.7500 0.3421

=====

# RuCl

A relaxed structure of RuCl (PBE, the Alexandria database).

Output
Its magnetization is 0.0004 μB/atom. The calculation puts the uncorrected formation energy at 0.3522 eV per atom. Its total energy is -0.191 Ha/atom. Its relative energy among the computed polymorphs is 0.58 eV per formula unit.

Cell: 5.8646 5.8646 5.8646 Å, 150.74 134.21 55.27°
Fractional coordinates of all 4 atoms:
1 Ru 0.4008 0.1508 0.2500
2 Ru 0.5992 0.8492 0.7500
3 Cl 0.1490 0.8990 0.2500
4 Cl 0.8510 0.1010 0.7500

=====

# RuCl

A relaxed structure of RuCl (PBE, the Alexandria database).

Output
Its magnetization is 0.0000 μB/atom. The calculation puts the uncorrected formation energy at 0.0730 eV per atom. Its total energy is -0.202 Ha/atom. Its relative energy among the computed polymorphs is 0.02 eV per formula unit.

Cell: 9.6016 9.6016 3.5538 Å, 90.00 90.00 90.00°
Fractional coordinates of all 16 atoms:
1 Ru 0.0738 0.6188 0.0000
2 Ru 0.1050 0.4142 0.5000
3 Ru 0.3812 0.0738 0.0000
4 Ru 0.4142 0.8950 0.5000
5 Ru 0.5858 0.1050 0.5000
6 Ru 0.6188 0.9262 0.0000
7 Ru 0.8950 0.5858 0.5000
8 Ru 0.9262 0.3812 0.0000
9 Cl 0.1675 0.7954 0.5000
10 Cl 0.2046 0.1675 0.5000
11 Cl 0.2754 0.4733 0.0000
12 Cl 0.4733 0.7246 0.0000
13 Cl 0.5267 0.2754 0.0000
14 Cl 0.7246 0.5267 0.0000
15 Cl 0.7954 0.8325 0.5000
16 Cl 0.8325 0.2046 0.5000

=====

# Ru5Cl

A relaxed structure of Ru5Cl (PBE, the Alexandria database).

Output
Its magnetization is 0.0002 μB/atom. The calculation puts the uncorrected formation energy at 0.6658 eV per atom. Its total energy is -0.271 Ha/atom. Its relative energy among the computed polymorphs is 1.28 eV per formula unit.

Cell: 4.7724 4.7724 4.4043 Å, 90.00 90.00 120.00°
Fractional coordinates of all 6 atoms:
1 Ru 0.0000 0.6441 0.0000
2 Ru 0.3333 0.6667 0.5000
3 Ru 0.3559 0.3559 0.0000
4 Ru 0.6441 0.0000 0.0000
5 Ru 0.6667 0.3333 0.5000
6 Cl 0.0000 0.0000 0.5000

=====

# Ru2Cl

A relaxed structure of Ru2Cl (PBE, the Alexandria database).

Output
Its magnetization is 0.0002 μB/atom. The calculation puts the uncorrected formation energy at 0.6838 eV per atom. Its total energy is -0.225 Ha/atom. Its relative energy among the computed polymorphs is 1.42 eV per formula unit.

Cell: 6.8790 6.8790 4.7755 Å, 90.00 90.00 155.90°
Fractional coordinates of all 6 atoms:
1 Ru 0.0270 0.9730 0.7500
2 Ru 0.3178 0.6822 0.2500
3 Ru 0.6822 0.3178 0.7500
4 Ru 0.9730 0.0270 0.2500
5 Cl 0.3541 0.6459 0.7500
6 Cl 0.6459 0.3541 0.2500